Below is an optimized crystal structure of Ac3Pr3Nd, with properties calculated at the PBE-GGA level.

Geometry as CIF:
```
data_Ac3Pr3Nd
_chemical_formula_sum 'Ac6 Pr6 Nd2'
_cell_length_a 10.235
_cell_length_b 10.235
_cell_length_c 6.191
_cell_angle_alpha 90.00
_cell_angle_beta 90.00
_cell_angle_gamma 120.00
_symmetry_space_group_name_H-M 'P 1'
_symmetry_Int_Tables_number 1
loop_
_symmetry_equiv_pos_as_xyz
'x,y,z'
loop_
_atom_site_label
_atom_site_fract_x
_atom_site_fract_y
_atom_site_fract_z
Ac1 0.094 0.627 0.250
Ac2 0.373 0.467 0.250
Ac3 0.467 0.094 0.750
Ac4 0.533 0.906 0.250
Ac5 0.627 0.533 0.750
Ac6 0.906 0.373 0.750
Pr1 0.046 0.814 0.750
Pr2 0.186 0.232 0.750
Pr3 0.232 0.046 0.250
Pr4 0.768 0.954 0.750
Pr5 0.814 0.768 0.250
Pr6 0.954 0.186 0.250
Nd1 0.333 0.667 0.750
Nd2 0.667 0.333 0.250
```

Computed properties:
Calculated density: 7.378 g/cm³
Crystal system: hexagonal
DFT formation energy: 0.042 eV per atom
Size of the total moment: 0.0 μB/cell